CaZn2Pt | PBE-GGA | optimized geometry

POSCAR file:
```
CaZn2Pt
1.0
1.483 -3.511 2.646
-2.499 -3.898 0.296
1.546 -3.902 -1.976
Pt Zn Ca
1 2 1
direct
0.500 0.500 0.500
0.250 0.250 0.250
0.750 0.750 0.750
0.000 0.000 0.000
```

**Electronic total energy**: -12.4 eV for the cell shown
**Size of the total moment**: 0.00 Bohr magnetons per cell
**Energy of formation from the pure elements**: -0.460 eV/atom

***

CaZn6Pt2 | PBE-GGA | optimized geometry

POSCAR file:
```
CaZn6Pt2
1.0
-2.843 2.811 -1.603
-6.519 -2.414 1.542
-4.495 1.742 5.241
Zn Ca Pt
6 1 2
direct
0.302 0.442 0.953
0.698 0.558 0.047
0.698 0.047 0.558
0.500 0.301 0.699
0.302 0.953 0.442
0.500 0.699 0.301
0.000 0.000 0.000
0.880 0.620 0.620
0.120 0.380 0.380
```

**Electronic total energy**: -24.6 eV for the cell shown
**Size of the total moment**: 0.00 Bohr magnetons per cell
**Energy of formation from the pure elements**: -0.321 eV/atom

***

Ca2ZnPt | PBE-GGA | optimized geometry

POSCAR file:
```
Ca2ZnPt
1.0
-0.565 2.798 4.001
-0.499 -2.099 4.416
3.626 0.329 3.301
Ca Zn Pt
2 1 1
direct
0.250 0.250 0.250
0.000 0.000 0.000
0.750 0.750 0.750
0.500 0.500 0.500
```

**Electronic total energy**: -12.8 eV for the cell shown
**Size of the total moment**: 0.00 Bohr magnetons per cell
**Energy of formation from the pure elements**: -0.381 eV/atom

***

CaZn11Pt | PBE-GGA | optimized geometry

POSCAR file:
```
CaZn11Pt
1.0
-1.249 3.640 3.609
-3.574 -2.378 5.324
4.845 0.599 4.930
Zn Pt Ca
11 1 1
direct
0.280 0.216 0.222
0.369 0.645 0.648
0.720 0.784 0.778
0.631 0.355 0.352
0.000 0.000 0.500
0.501 0.216 0.778
0.983 0.355 0.648
0.499 0.784 0.222
0.500 0.000 0.500
0.000 0.500 0.000
0.017 0.645 0.352
0.500 0.500 0.000
0.000 0.000 0.000
```

**Electronic total energy**: -25.1 eV for the cell shown
**Size of the total moment**: 0.00 Bohr magnetons per cell
**Energy of formation from the pure elements**: -0.231 eV/atom

***

CaZn4Pt2 | PBE-GGA | optimized geometry

POSCAR file:
```
CaZn4Pt2
1.0
-5.013 3.282 0.610
1.750 -2.505 -5.191
-1.100 -4.784 3.490
Zn Pt Ca
4 2 1
direct
0.734 0.500 0.234
0.500 0.734 0.234
0.500 0.266 0.766
0.266 0.500 0.766
0.250 0.750 0.500
0.750 0.250 0.500
0.000 0.000 0.000
```

**Electronic total energy**: -20.1 eV for the cell shown
**Size of the total moment**: 0.00 Bohr magnetons per cell
**Polymorph energy (0 for the lowest one)**: 455 meV per atom
**Energy of formation from the pure elements**: -0.136 eV/atom

***

CaZn2Pt | PBE-GGA | optimized geometry

POSCAR file:
```
CaZn2Pt
1.0
-4.149 -1.141 -3.752
-1.067 0.206 5.604
-1.836 2.378 0.263
Pt Zn Ca
1 2 1
direct
0.000 0.500 0.500
0.500 0.500 0.000
0.000 0.000 0.000
0.500 0.000 0.500
```

**Electronic total energy**: -11.4 eV for the cell shown
**Size of the total moment**: 0.00 Bohr magnetons per cell
**Energy of formation from the pure elements**: -0.195 eV/atom

***

Q: What is the size of the total moment in the sixth record?
A: 0.00 Bohr magnetons per cell